A plane-wave DFT calculation with PBE was carried out for an optimized crystal structure of Er5SnS4.

CIF file:
```
data_Er5SnS4
_cell_length_a 3.962
_cell_length_b 6.838
_cell_length_c 8.954
_cell_angle_alpha 75.40
_cell_angle_beta 77.22
_cell_angle_gamma 73.16
_symmetry_space_group_name_H-M 'P 1'
_symmetry_Int_Tables_number 1
_symmetry_space_group_name_Hall 'P 1'
loop_
_atom_site_label
_atom_site_type_symbol
_atom_site_fract_x
_atom_site_fract_y
_atom_site_fract_z
Er1 Er 0.204 0.908 0.685
Er2 Er 0.796 0.092 0.315
Er3 Er 0.392 0.329 0.888
Er4 Er 0.000 0.500 0.500
Er5 Er 0.608 0.671 0.112
Sn1 Sn 0.000 0.000 0.000
S1 S 0.596 0.209 0.599
S2 S 0.202 0.385 0.211
S3 S 0.798 0.615 0.789
S4 S 0.404 0.791 0.401
```

Computed properties:
- total moment (Bohr magnetons per cell) = 0.0
- uncorrected energy (eV/atom) = -5.99